## w
Density functional theory data (SCAN) for a PBEsol-optimized structure of Si2IrCl.

a b c (Å): 7.016 6.733 2.877
angles (deg): 90.00 111.87 90.00
Fractional positions:
Si (0.250, 0.250, 0.000)
Si (0.250, 0.750, 0.000)
Si (0.750, 0.250, 0.000)
Si (0.750, 0.750, 0.000)
Ir (0.000, 0.000, 0.000)
Ir (0.500, 0.500, 0.000)
Cl (0.000, 0.500, 0.000)
Cl (0.500, 0.000, 0.000)

Properties
Its total magnetic moment is 0.0 μB/f.u.

***

## x
Density functional theory data (SCAN) for a PBEsol-optimized structure of Si2IrCl.

a b c (Å): 2.883 3.098 6.968
angles (deg): 90.00 90.00 90.00
Fractional positions:
Si (0.000, 0.000, 0.212)
Si (0.000, 0.000, 0.788)
Ir (0.500, 0.500, 0.000)
Cl (0.500, 0.500, 0.500)

Properties
Its total magnetic moment is 0.0 μB/f.u.

***

The most stable of them is w.

***

## w
Density functional theory data (SCAN) for a PBEsol-optimized structure of Si2IrCl.

a b c (Å): 4.648 4.648 2.753
angles (deg): 90.00 90.00 90.00
Fractional positions:
Si (0.000, 0.500, 0.000)
Si (0.500, 0.000, 0.000)
Ir (0.000, 0.000, 0.500)
Cl (0.500, 0.500, 0.500)

Properties
Its total magnetic moment is 0.0 μB/f.u.

***

## x
Density functional theory data (SCAN) for a PBEsol-optimized structure of Si2IrCl.

a b c (Å): 6.205 6.205 6.205
angles (deg): 90.00 90.00 90.00
Fractional positions:
Si (0.250, 0.250, 0.250)
Si (0.250, 0.250, 0.750)
Si (0.250, 0.750, 0.250)
Si (0.250, 0.750, 0.750)
Si (0.750, 0.250, 0.250)
Si (0.750, 0.250, 0.750)
Si (0.750, 0.750, 0.250)
Si (0.750, 0.750, 0.750)
Ir (0.000, 0.000, 0.000)
Ir (0.000, 0.500, 0.500)
Ir (0.500, 0.000, 0.500)
Ir (0.500, 0.500, 0.000)
Cl (0.000, 0.000, 0.500)
Cl (0.000, 0.500, 0.000)
Cl (0.500, 0.000, 0.000)
Cl (0.500, 0.500, 0.500)

Properties
Its total magnetic moment is 0.0 μB/f.u.

***

The most stable of them is w.

***

## w
Density functional theory data (SCAN) for a PBEsol-optimized structure of SrIr2Cl.

a b c (Å): 4.142 4.142 5.075
angles (deg): 90.00 90.00 90.00
Fractional positions:
Sr (0.000, 0.000, 0.000)
Ir (0.500, 0.500, 0.241)
Ir (0.500, 0.500, 0.759)
Cl (0.000, 0.000, 0.500)

Properties
Its total magnetic moment is 0.0 μB/f.u.

***

## x
Density functional theory data (SCAN) for a PBEsol-optimized structure of SrIr2Cl.

a b c (Å): 3.698 3.698 6.006
angles (deg): 90.00 90.00 90.00
Fractional positions:
Sr (0.000, 0.000, 0.000)
Ir (0.000, 0.500, 0.500)
Ir (0.500, 0.000, 0.500)
Cl (0.500, 0.500, 0.000)

Properties
Its total magnetic moment is 0.0 μB/f.u.

***

## y
Density functional theory data (SCAN) for a PBEsol-optimized structure of SrIr2Cl.

a b c (Å): 5.020 11.088 2.898
angles (deg): 90.00 90.00 90.00
Fractional positions:
Sr (0.000, 0.000, 0.000)
Sr (0.500, 0.500, 0.000)
Ir (0.250, 0.250, 0.500)
Ir (0.250, 0.750, 0.500)
Ir (0.750, 0.250, 0.500)
Ir (0.750, 0.750, 0.500)
Cl (0.000, 0.500, 0.000)
Cl (0.500, 0.000, 0.000)

Properties
Its total magnetic moment is 0.0 μB/f.u.

***

The most stable of them is x.

***

## w
Density functional theory data (SCAN) for a PBEsol-optimized structure of Ta2IrCl.

a b c (Å): 2.968 5.061 8.560
angles (deg): 90.00 90.00 90.00
Fractional positions:
Ta (0.000, 0.000, 0.229)
Ta (0.000, 0.000, 0.771)
Ta (0.500, 0.500, 0.271)
Ta (0.500, 0.500, 0.729)
Ir (0.000, 0.500, 0.000)
Ir (0.500, 0.000, 0.500)
Cl (0.000, 0.500, 0.500)
Cl (0.500, 0.000, 0.000)

Properties
Its total magnetic moment is 0.0 μB/f.u.

***

## x
Density functional theory data (SCAN) for a PBEsol-optimized structure of Ta2IrCl.

a b c (Å): 4.813 4.813 2.828
angles (deg): 90.00 90.00 90.00
Fractional positions:
Ta (0.000, 0.500, 0.000)
Ta (0.500, 0.000, 0.000)
Ir (0.000, 0.000, 0.500)
Cl (0.500, 0.500, 0.000)

Properties
Its total magnetic moment is 0.0 μB/f.u.

***

## y
Density functional theory data (SCAN) for a PBEsol-optimized structure of Ta2IrCl.

a b c (Å): 2.886 2.886 26.232
angles (deg): 90.00 90.00 120.00
Fractional positions:
Ta (0.000, 0.000, 0.248)
Ta (0.000, 0.000, 0.752)
Ta (0.333, 0.667, 0.418)
Ta (0.333, 0.667, 0.915)
Ta (0.667, 0.333, 0.085)
Ta (0.667, 0.333, 0.582)
Ir (0.000, 0.000, 0.000)
Ir (0.333, 0.667, 0.667)
Ir (0.667, 0.333, 0.333)
Cl (0.000, 0.000, 0.500)
Cl (0.333, 0.667, 0.167)
Cl (0.667, 0.333, 0.833)

Properties
Its total magnetic moment is 0.0 μB/f.u.

***

The most stable of them is x.

***

## w
Density functional theory data (SCAN) for a PBEsol-optimized structure of TaIrCl3.

a b c (Å): 4.699 4.699 4.699
angles (deg): 90.00 90.00 90.00
Fractional positions:
Ta (0.000, 0.000, 0.000)
Ir (0.500, 0.500, 0.500)
Cl (0.000, 0.500, 0.500)
Cl (0.500, 0.000, 0.500)
Cl (0.500, 0.500, 0.000)

Properties
Its total magnetic moment is 3.6 μB/f.u.

***

## x
Density functional theory data (SCAN) for a PBEsol-optimized structure of TaIrCl3.

a b c (Å): 4.738 4.738 4.738
angles (deg): 90.00 90.00 90.00
Fractional positions:
Ta (0.000, 0.000, 0.000)
Ir (0.500, 0.500, 0.500)
Cl (0.000, 0.000, 0.500)
Cl (0.000, 0.500, 0.000)
Cl (0.500, 0.000, 0.000)

Properties
Its total magnetic moment is 2.9 μB/f.u.

***

The most stable of them is x.

***

## w
Density functional theory data (SCAN) for a PBEsol-optimized structure of Tc2IrCl.

a b c (Å): 2.760 4.802 8.968
angles (deg): 90.00 90.00 90.00
Fractional positions:
Tc (0.000, 0.000, 0.000)
Tc (0.000, 0.500, 0.246)
Tc (0.500, 0.000, 0.246)
Tc (0.500, 0.500, 0.000)
Ir (0.000, 0.500, 0.756)
Ir (0.500, 0.000, 0.756)
Cl (0.000, 0.000, 0.472)
Cl (0.500, 0.500, 0.472)

Properties
Its total magnetic moment is 0.0 μB/f.u.

***

## x
Density functional theory data (SCAN) for a PBEsol-optimized structure of Tc2IrCl.

a b c (Å): 5.125 8.095 2.763
angles (deg): 90.00 90.23 90.00
Fractional positions:
Tc (0.250, 0.250, 0.000)
Tc (0.250, 0.750, 0.000)
Tc (0.750, 0.250, 0.000)
Tc (0.750, 0.750, 0.000)
Ir (0.000, 0.000, 0.500)
Ir (0.500, 0.500, 0.500)
Cl (0.000, 0.500, 0.500)
Cl (0.500, 0.000, 0.500)

Properties
Its total magnetic moment is 0.0 μB/f.u.

***

## y
Density functional theory data (SCAN) for a PBEsol-optimized structure of Tc2IrCl.

a b c (Å): 4.514 4.514 2.767
angles (deg): 90.00 90.00 90.00
Fractional positions:
Tc (0.000, 0.500, 0.000)
Tc (0.500, 0.000, 0.000)
Ir (0.000, 0.000, 0.500)
Cl (0.500, 0.500, 0.500)

Properties
Its total magnetic moment is 0.0 μB/f.u.

***

The most stable of them is w.

***

## w
Density functional theory data (SCAN) for a PBEsol-optimized structure of TcIr2Cl.

a b c (Å): 5.372 7.910 2.716
angles (deg): 90.00 90.00 90.00
Fractional positions:
Tc (0.000, 0.000, 0.000)
Tc (0.500, 0.500, 0.000)
Ir (0.250, 0.250, 0.500)
Ir (0.250, 0.750, 0.500)
Ir (0.750, 0.250, 0.500)
Ir (0.750, 0.750, 0.500)
Cl (0.000, 0.500, 0.000)
Cl (0.500, 0.000, 0.000)

Properties
Its total magnetic moment is 0.0 μB/f.u.

***

## x
Density functional theory data (SCAN) for a PBEsol-optimized structure of TcIr2Cl.

a b c (Å): 6.135 6.135 6.135
angles (deg): 90.00 90.00 90.00
Fractional positions:
Tc (0.000, 0.000, 0.000)
Tc (0.000, 0.500, 0.500)
Tc (0.500, 0.000, 0.500)
Tc (0.500, 0.500, 0.000)
Ir (0.000, 0.000, 0.500)
Ir (0.000, 0.500, 0.000)
Ir (0.250, 0.250, 0.250)
Ir (0.250, 0.750, 0.750)
Ir (0.500, 0.000, 0.000)
Ir (0.500, 0.500, 0.500)
Ir (0.750, 0.250, 0.750)
Ir (0.750, 0.750, 0.250)
Cl (0.250, 0.250, 0.750)
Cl (0.250, 0.750, 0.250)
Cl (0.750, 0.250, 0.250)
Cl (0.750, 0.750, 0.750)

Properties
Its total magnetic moment is 1.7 μB/f.u.

***

## y
Density functional theory data (SCAN) for a PBEsol-optimized structure of TcIr2Cl.

a b c (Å): 2.718 4.836 9.034
angles (deg): 90.00 90.00 90.00
Fractional positions:
Tc (0.000, 0.000, 0.000)
Tc (0.500, 0.500, 0.000)
Ir (0.000, 0.500, 0.244)
Ir (0.000, 0.500, 0.756)
Ir (0.500, 0.000, 0.244)
Ir (0.500, 0.000, 0.756)
Cl (0.000, 0.000, 0.500)
Cl (0.500, 0.500, 0.500)

Properties
Its total magnetic moment is 0.7 μB/f.u.

***

The most stable of them is y.

***

## w
Density functional theory data (SCAN) for a PBEsol-optimized structure of TcIrCl2.

a b c (Å): 2.921 2.921 24.500
angles (deg): 90.00 90.00 120.00
Fractional positions:
Tc (0.000, 0.000, 0.000)
Tc (0.333, 0.667, 0.667)
Tc (0.667, 0.333, 0.333)
Ir (0.000, 0.000, 0.500)
Ir (0.333, 0.667, 0.167)
Ir (0.667, 0.333, 0.833)
Cl (0.000, 0.000, 0.407)
Cl (0.000, 0.000, 0.593)
Cl (0.333, 0.667, 0.073)
Cl (0.333, 0.667, 0.260)
Cl (0.667, 0.333, 0.740)
Cl (0.667, 0.333, 0.927)

Properties
Its total magnetic moment is 0.0 μB/f.u.

***

## x
Density functional theory data (SCAN) for a PBEsol-optimized structure of TcIrCl2.

a b c (Å): 3.529 3.529 8.105
angles (deg): 90.00 90.00 120.00
Fractional positions:
Tc (0.000, 0.000, 0.000)
Ir (0.667, 0.333, 0.852)
Cl (0.333, 0.667, 0.198)
Cl (0.667, 0.333, 0.579)

Properties
Its total magnetic moment is 0.0 μB/f.u.

***

The most stable of them is x.

***

## w
Density functional theory data (SCAN) for a PBEsol-optimized structure of TlIrCl2.

a b c (Å): 6.694 6.694 6.694
angles (deg): 90.00 90.00 90.00
Fractional positions:
Tl (0.000, 0.000, 0.000)
Tl (0.000, 0.500, 0.500)
Tl (0.500, 0.000, 0.500)
Tl (0.500, 0.500, 0.000)
Ir (0.250, 0.250, 0.250)
Ir (0.250, 0.750, 0.750)
Ir (0.750, 0.250, 0.750)
Ir (0.750, 0.750, 0.250)
Cl (0.000, 0.000, 0.500)
Cl (0.000, 0.500, 0.000)
Cl (0.250, 0.250, 0.750)
Cl (0.250, 0.750, 0.250)
Cl (0.500, 0.000, 0.000)
Cl (0.500, 0.500, 0.500)
Cl (0.750, 0.250, 0.250)
Cl (0.750, 0.750, 0.750)

Properties
Its total magnetic moment is 0.5 μB/f.u.

***

## x
Density functional theory data (SCAN) for a PBEsol-optimized structure of TlIrCl2.

a b c (Å): 5.595 9.659 3.515
angles (deg): 90.00 90.00 90.00
Fractional positions:
Tl (0.000, 0.000, 0.000)
Tl (0.500, 0.500, 0.000)
Ir (0.000, 0.500, 0.000)
Ir (0.500, 0.000, 0.000)
Cl (0.000, 0.341, 0.500)
Cl (0.000, 0.659, 0.500)
Cl (0.500, 0.159, 0.500)
Cl (0.500, 0.841, 0.500)

Properties
Its total magnetic moment is 0.0 μB/f.u.

***

The most stable of them is x.

***

## w
Density functional theory data (SCAN) for a PBEsol-optimized structure of YIrCl2.

a b c (Å): 3.862 3.862 9.497
angles (deg): 90.00 90.00 90.00
Fractional positions:
Y (0.000, 0.000, 0.000)
Y (0.500, 0.500, 0.500)
Ir (0.000, 0.500, 0.750)
Ir (0.500, 0.000, 0.250)
Cl (0.000, 0.000, 0.500)
Cl (0.000, 0.500, 0.250)
Cl (0.500, 0.000, 0.750)
Cl (0.500, 0.500, 0.000)

Properties
Its total magnetic moment is 0.0 μB/f.u.

***

## x
Density functional theory data (SCAN) for a PBEsol-optimized structure of YIrCl2.

a b c (Å): 4.246 4.246 3.871
angles (deg): 90.00 90.00 90.00
Fractional positions:
Y (0.000, 0.000, 0.000)
Ir (0.500, 0.500, 0.000)
Cl (0.000, 0.500, 0.500)
Cl (0.500, 0.000, 0.500)

Properties
Its total magnetic moment is 0.0 μB/f.u.

***

The most stable of them is w.

***

## w
Density functional theory data (SCAN) for a PBEsol-optimized structure of K3Cl.

a b c (Å): 7.288 7.288 7.288
angles (deg): 90.00 90.00 90.00
Fractional positions:
K (0.000, 0.250, 0.500)
K (0.000, 0.750, 0.500)
K (0.250, 0.500, 0.000)
K (0.500, 0.000, 0.250)
K (0.500, 0.000, 0.750)
K (0.750, 0.500, 0.000)
Cl (0.000, 0.000, 0.000)
Cl (0.500, 0.500, 0.500)

Properties
Its total magnetic moment is 0.0 μB/f.u.

***

## x
Density functional theory data (SCAN) for a PBEsol-optimized structure of K3Cl.

a b c (Å): 4.399 4.399 11.728
angles (deg): 90.00 90.00 120.00
Fractional positions:
K (0.000, 0.000, 0.000)
K (0.333, 0.667, 0.337)
K (0.333, 0.667, 0.663)
Cl (0.000, 0.000, 0.500)

Properties
Its total magnetic moment is 0.1 μB/f.u.

***

## y
Density functional theory data (SCAN) for a PBEsol-optimized structure of K3Cl.

a b c (Å): 4.119 8.526 11.767
angles (deg): 90.00 90.00 90.00
Fractional positions:
K (0.250, 0.007, 0.181)
K (0.250, 0.250, 0.484)
K (0.250, 0.493, 0.181)
K (0.750, 0.507, 0.819)
K (0.750, 0.750, 0.516)
K (0.750, 0.993, 0.819)
Cl (0.250, 0.750, 0.721)
Cl (0.750, 0.250, 0.279)

Properties
Its total magnetic moment is 0.1 μB/f.u.

***

## z
Density functional theory data (SCAN) for a PBEsol-optimized structure of K3Cl.

a b c (Å): 7.705 4.475 11.824
angles (deg): 90.00 102.11 90.00
Fractional positions:
K (0.000, 0.000, 0.000)
K (0.217, 0.000, 0.658)
K (0.283, 0.500, 0.342)
K (0.500, 0.500, 0.000)
K (0.717, 0.500, 0.658)
K (0.783, 0.000, 0.342)
Cl (0.000, 0.500, 0.500)
Cl (0.500, 0.000, 0.500)

Properties
Its total magnetic moment is 0.0 μB/f.u.

***

The most stable of them is z.

***

## w
Density functional theory data (SCAN) for a PBEsol-optimized structure of K2MgCl.

a b c (Å): 9.058 9.058 8.409
angles (deg): 90.00 90.00 90.00
Fractional positions:
K (0.177, 0.750, 0.125)
K (0.250, 0.177, 0.875)
K (0.250, 0.323, 0.375)
K (0.323, 0.750, 0.625)
K (0.677, 0.250, 0.625)
K (0.750, 0.677, 0.375)
K (0.750, 0.823, 0.875)
K (0.823, 0.250, 0.125)
Mg (0.000, 0.000, 0.500)
Mg (0.000, 0.500, 0.750)
Mg (0.500, 0.000, 0.250)
Mg (0.500, 0.500, 0.000)
Cl (0.000, 0.000, 0.000)
Cl (0.000, 0.500, 0.250)
Cl (0.500, 0.000, 0.750)
Cl (0.500, 0.500, 0.500)

Properties
Its total magnetic moment is 0.0 μB/f.u.

***

## x
Density functional theory data (SCAN) for a PBEsol-optimized structure of K2MgCl.

a b c (Å): 5.852 5.852 4.140
angles (deg): 90.00 90.00 90.00
Fractional positions:
K (0.000, 0.500, 0.000)
K (0.500, 0.000, 0.000)
Mg (0.000, 0.000, 0.500)
Cl (0.500, 0.500, 0.500)

Properties
Its total magnetic moment is 0.0 μB/f.u.

***

The most stable of them is w.